(1)
Nb3Re5Os12, relaxed, DFT PBE-GGA; electronic total energy = -819.6 eV/cell; SG = Ia-3d, No. 230; calculated formation energy = 1.115 eV per atom
1.0
-10.484 -3.857 5.983
9.260 -8.456 1.828
3.588 11.252 4.594
Nb Re Os
12 20 48
Direct
0.750 0.375 0.125 Nb
0.875 0.750 0.125 Nb
0.375 0.750 0.625 Nb
0.250 0.125 0.375 Nb
0.875 0.125 0.250 Nb
0.375 0.625 0.250 Nb
0.625 0.375 0.750 Nb
0.125 0.875 0.750 Nb
0.750 0.875 0.625 Nb
0.625 0.250 0.375 Nb
0.125 0.250 0.875 Nb
0.250 0.625 0.875 Nb
0.125 0.375 0.250 Re
0.000 0.500 0.000 Re
0.000 0.000 0.000 Re
0.375 0.250 0.125 Re
0.500 0.000 0.500 Re
0.500 0.500 0.000 Re
0.125 0.750 0.375 Re
0.750 0.125 0.875 Re
0.750 0.625 0.375 Re
0.375 0.125 0.750 Re
0.625 0.875 0.250 Re
0.500 0.500 0.500 Re
0.500 0.000 0.000 Re
0.000 0.000 0.500 Re
0.250 0.375 0.625 Re
0.250 0.875 0.125 Re
0.000 0.500 0.500 Re
0.875 0.250 0.625 Re
0.625 0.750 0.875 Re
0.875 0.625 0.750 Re
0.730 0.137 0.062 Os
0.332 0.562 0.425 Os
0.938 0.363 0.270 Os
0.562 0.230 0.137 Os
0.593 0.730 0.668 Os
0.938 0.575 0.168 Os
0.332 0.770 0.407 Os
0.075 0.907 0.137 Os
0.575 0.938 0.668 Os
0.730 0.593 0.168 Os
0.770 0.438 0.363 Os
0.832 0.925 0.062 Os
0.137 0.730 0.562 Os
0.363 0.425 0.093 Os
0.093 0.925 0.363 Os
0.407 0.137 0.575 Os
0.093 0.168 0.230 Os
0.438 0.668 0.075 Os
0.832 0.907 0.270 Os
0.137 0.407 0.075 Os
0.363 0.938 0.770 Os
0.575 0.637 0.407 Os
0.925 0.832 0.562 Os
0.770 0.332 0.907 Os
0.425 0.363 0.593 Os
0.075 0.168 0.438 Os
0.230 0.668 0.093 Os
0.168 0.093 0.730 Os
0.637 0.062 0.230 Os
0.863 0.593 0.925 Os
0.562 0.332 0.925 Os
0.593 0.863 0.425 Os
0.907 0.832 0.770 Os
0.907 0.075 0.637 Os
0.863 0.270 0.438 Os
0.168 0.075 0.938 Os
0.637 0.575 0.907 Os
0.425 0.062 0.332 Os
0.270 0.407 0.832 Os
0.230 0.562 0.637 Os
0.925 0.093 0.863 Os
0.668 0.230 0.593 Os
0.438 0.770 0.863 Os
0.062 0.425 0.832 Os
0.407 0.270 0.332 Os
0.062 0.637 0.730 Os
0.668 0.438 0.575 Os
0.270 0.863 0.938 Os


(2)
Pm8Cu2Ru, relaxed, DFT PBE-GGA; electronic total energy = -56.5 eV/cell; SG = C2/m, No. 12; calculated formation energy = -0.096 eV per atom
1.0
5.199 0.000 0.000
0.000 6.881 0.233
-2.599 -2.675 8.426
Pm Cu Ru
8 2 1
Direct
0.411 0.557 0.822 Pm
0.666 0.979 0.332 Pm
0.801 0.672 0.603 Pm
0.968 0.207 0.937 Pm
0.199 0.328 0.397 Pm
0.334 0.021 0.668 Pm
0.589 0.443 0.178 Pm
0.032 0.793 0.063 Pm
0.815 0.272 0.630 Cu
0.185 0.728 0.370 Cu
0.500 0.000 0.000 Ru


(3)
InP, relaxed, DFT PBE-GGA; electronic total energy = -65.4 eV/cell; SG = I-43m, No. 217; calculated formation energy = -0.012 eV per atom
1.0
8.141 0.000 0.000
0.000 8.141 0.000
0.000 0.000 8.141
In P
8 8
Direct
0.340 0.340 0.340 In
0.340 0.660 0.660 In
0.660 0.340 0.660 In
0.660 0.660 0.340 In
0.840 0.840 0.840 In
0.840 0.160 0.160 In
0.160 0.840 0.160 In
0.160 0.160 0.840 In
0.162 0.162 0.162 P
0.162 0.838 0.838 P
0.838 0.162 0.838 P
0.838 0.838 0.162 P
0.662 0.662 0.662 P
0.662 0.338 0.338 P
0.338 0.662 0.338 P
0.338 0.338 0.662 P


(4)
TlGaMo2Pd, relaxed, DFT PBE-GGA; electronic total energy = -25.7 eV/cell; SG = P4/mmm, No. 123; calculated formation energy = 1.301 eV per atom
1.0
-2.301 -2.149 -3.791
-3.524 -1.146 2.789
-2.230 4.264 -1.064
Tl Ga Mo Pd
1 1 2 1
Direct
0.500 0.500 0.500 Tl
0.000 0.500 0.000 Ga
0.000 0.000 0.500 Mo
0.500 0.000 0.000 Mo
0.000 0.000 0.000 Pd


(5)
CaIn2NiSn, relaxed, DFT PBE-GGA; electronic total energy = -18.2 eV/cell; SG = P4/mmm, No. 123; calculated formation energy = -0.189 eV per atom
1.0
-2.976 3.142 2.492
-3.689 -3.363 -0.165
1.602 -1.973 4.400
Ni Ca Sn In
1 1 1 2
Direct
0.000 0.000 0.000 Ni
0.500 0.500 0.500 Ca
0.000 0.000 0.500 Sn
0.000 0.500 0.000 In
0.500 0.000 0.000 In


(6)
Ta2PbW, relaxed, DFT PBE-GGA; electronic total energy = -38.8 eV/cell; SG = Imm2, No. 44; calculated formation energy = 0.400 eV per atom
1.0
5.495 0.011 0.036
4.390 3.306 0.036
1.949 0.654 4.181
Pb Ta W
1 2 1
Direct
0.245 0.245 0.255 Pb
0.012 0.012 0.988 Ta
0.758 0.758 0.742 Ta
0.486 0.486 0.515 W


(7)
FeTeBr2, relaxed, DFT PBE-GGA; electronic total energy = -15.3 eV/cell; formation energy (no corrections) = -0.377 eV per formula unit; SG = R3m, No. 160
1.0
8.949 0.136 0.081
8.123 3.757 0.081
8.123 1.852 3.270
Br Fe Te
2 1 1
Direct
0.018 0.018 0.018 Br
0.217 0.217 0.217 Br
0.496 0.496 0.496 Fe
0.769 0.769 0.769 Te


(8)
KCeHg6, relaxed, DFT PBE-GGA; electronic total energy = -10.7 eV/cell; SG = Pmm2, No. 25; calculated formation energy = -0.226 eV per atom
1.0
5.377 0.000 0.000
0.000 5.719 0.000
0.000 0.000 7.116
K Ce Hg
1 1 6
Direct
0.000 0.670 0.000 K
0.500 0.344 0.500 Ce
0.500 0.834 0.265 Hg
0.000 0.176 0.737 Hg
0.000 0.176 0.263 Hg
0.500 0.834 0.735 Hg
0.000 0.681 0.500 Hg
0.500 0.283 0.000 Hg


(9)
CsSrBr3, relaxed, DFT PBE-GGA; electronic total energy = -35.2 eV/cell; formation energy (no corrections) = -10.066 eV per formula unit; SG = Pm, No. 6
1.0
11.571 0.015 0.002
-0.007 4.585 0.000
-0.005 2.292 7.737
Cs Sr Br
2 2 6
Direct
0.054 0.270 0.568 Cs
0.554 0.778 0.551 Cs
0.804 0.524 0.059 Sr
0.304 0.524 0.060 Sr
0.352 0.154 0.800 Br
0.256 0.894 0.319 Br
0.852 0.894 0.319 Br
0.054 0.586 0.935 Br
0.756 0.154 0.800 Br
0.554 0.461 0.184 Br


(10)
La14SmHo, relaxed, DFT PBE-GGA; electronic total energy = -78.1 eV/cell; SG = Cmmm, No. 65; calculated formation energy = 0.009 eV per atom
1.0
7.324 0.986 0.000
-0.980 7.325 0.000
0.000 0.000 10.524
La Sm Ho
14 1 1
Direct
0.375 0.625 0.500 La
0.875 0.125 0.500 La
0.875 0.625 0.000 La
0.875 0.625 0.500 La
0.375 0.125 0.000 La
0.375 0.125 0.500 La
0.624 0.874 0.752 La
0.624 0.874 0.248 La
0.126 0.376 0.752 La
0.126 0.376 0.248 La
0.126 0.874 0.752 La
0.126 0.874 0.248 La
0.624 0.376 0.752 La
0.624 0.376 0.248 La
0.875 0.125 0.000 Sm
0.375 0.625 0.000 Ho


(11)
ZrBe3Cr, relaxed, DFT PBE-GGA; electronic total energy = -18.4 eV/cell; SG = Pm-3m, No. 221; calculated formation energy = 2.186 eV per atom
1.0
4.372 0.000 0.000
0.000 4.372 0.000
0.000 0.000 4.372
Cr Zr Be
1 1 3
Direct
0.500 0.500 0.500 Cr
0.000 0.000 0.000 Zr
0.000 0.500 0.000 Be
0.000 0.000 0.500 Be
0.500 0.000 0.000 Be


(12)
TmCr4Mo, relaxed, DFT PBE-GGA; electronic total energy = -52.8 eV/cell; SG = F-43m, No. 216; calculated formation energy = 0.158 eV per atom
1.0
-0.144 3.794 3.219
-2.861 -0.290 4.063
2.095 -0.465 4.491
Cr Mo Tm
4 1 1
Direct
0.624 0.624 0.127 Cr
0.624 0.127 0.624 Cr
0.624 0.624 0.624 Cr
0.127 0.624 0.624 Cr
0.250 0.250 0.250 Mo
0.000 0.000 0.000 Tm